No. 1
Crystalline Na2SrMgHg4 at its relaxed geometry. Source: Alexandria via LeMat-Bulk, functional PBE-GGA.

Lattice parameters (Å, degrees): 9.533 9.533 9.533 31.69 31.69 31.69
Atoms (fractional coordinates):
Na (0.242, 0.242, 0.242)
Na (0.758, 0.758, 0.758)
Sr (0.000, 0.000, 0.000)
Mg (0.500, 0.500, 0.500)
Hg (0.126, 0.126, 0.126)
Hg (0.390, 0.390, 0.390)
Hg (0.610, 0.610, 0.610)
Hg (0.874, 0.874, 0.874)

Calculated values
* DOS(E_F): 4.6 states/eV/f.u.
* space-group type: R-3m, No. 166
* formation energy: -0.287 eV per atom



No. 2
Crystalline Al3TeS at its relaxed geometry. Source: Alexandria via LeMat-Bulk, functional PBE-GGA.

Lattice parameters (Å, degrees): 4.891 4.891 4.891 90.00 90.00 90.00
Atoms (fractional coordinates):
Al (0.000, 0.000, 0.500)
Al (0.000, 0.500, 0.000)
Al (0.500, 0.000, 0.000)
Te (0.500, 0.500, 0.500)
S (0.000, 0.000, 0.000)

Calculated values
* DOS(E_F): 3.8 states/eV/f.u.
* distance to the lowest polymorph of the same formula: 0 meV per atom
* space-group type: Pm-3m, No. 221
* uncorrected formation energy: 272 meV per atom



No. 3
Crystalline NdHAu at its relaxed geometry. Source: Alexandria via LeMat-Bulk, functional PBE-GGA.

Lattice parameters (Å, degrees): 3.980 13.174 4.207 90.00 90.00 90.00
Atoms (fractional coordinates):
Nd (0.000, 0.157, 0.250)
Nd (0.000, 0.843, 0.750)
Nd (0.500, 0.343, 0.750)
Nd (0.500, 0.657, 0.250)
H (0.000, 0.248, 0.750)
H (0.000, 0.752, 0.250)
H (0.500, 0.252, 0.250)
H (0.500, 0.748, 0.750)
Au (0.000, 0.431, 0.250)
Au (0.000, 0.569, 0.750)
Au (0.500, 0.069, 0.750)
Au (0.500, 0.931, 0.250)

Calculated values
* DOS(E_F): 1.4 states/eV/f.u.
* distance to the lowest polymorph of the same formula: 0 meV per atom
* space-group type: Cmcm, No. 63



No. 4
Crystalline NdDy7Tm4 at its relaxed geometry. Source: Alexandria via LeMat-Bulk, functional PBE-GGA.

Lattice parameters (Å, degrees): 6.172 7.132 8.778 89.96 76.29 89.92
Atoms (fractional coordinates):
Nd (0.000, 0.000, 0.000)
Dy (0.000, 0.500, 0.000)
Dy (0.222, 0.000, 0.335)
Dy (0.280, 0.748, 0.664)
Dy (0.500, 0.252, 0.000)
Dy (0.500, 0.748, 0.000)
Dy (0.720, 0.252, 0.336)
Dy (0.778, 0.000, 0.665)
Tm (0.220, 0.500, 0.335)
Tm (0.279, 0.252, 0.665)
Tm (0.721, 0.748, 0.335)
Tm (0.780, 0.500, 0.665)

Calculated values
* DOS(E_F): 16.0 states/eV/f.u.
* distance to the lowest polymorph of the same formula: 0 meV per atom
* space-group type: P-1, No. 2
* formation energy: -0.002 eV per atom



No. 5
Crystalline OsSN2O at its relaxed geometry. Source: Alexandria via LeMat-Bulk, functional PBE-GGA.

Lattice parameters (Å, degrees): 3.674 3.674 3.709 90.00 90.00 90.00
Atoms (fractional coordinates):
Os (0.000, 0.000, 0.000)
S (0.500, 0.500, 0.000)
N (0.000, 0.500, 0.500)
N (0.500, 0.000, 0.500)
O (0.500, 0.500, 0.500)

Calculated values
* DOS(E_F): 2.6 states/eV/f.u.
* space-group type: P4/mmm, No. 123
* uncorrected formation energy: 2238 meV per atom



No. 6
Crystalline SrO at its relaxed geometry. Source: Alexandria via LeMat-Bulk, functional PBE-GGA.

Lattice parameters (Å, degrees): 10.068 10.068 4.198 90.00 90.00 90.00
Atoms (fractional coordinates):
Sr (0.117, 0.292, 0.000)
Sr (0.208, 0.617, 0.500)
Sr (0.292, 0.883, 0.000)
Sr (0.383, 0.208, 0.500)
Sr (0.617, 0.792, 0.500)
Sr (0.708, 0.117, 0.000)
Sr (0.792, 0.383, 0.500)
Sr (0.883, 0.708, 0.000)
O (0.123, 0.706, 0.000)
O (0.206, 0.377, 0.500)
O (0.294, 0.123, 0.000)
O (0.377, 0.794, 0.500)
O (0.623, 0.206, 0.500)
O (0.706, 0.877, 0.000)
O (0.794, 0.623, 0.500)
O (0.877, 0.294, 0.000)

Calculated values
* DOS(E_F): 0.0 states/eV/f.u.
* space-group type: I4/m, No. 87
* uncorrected formation energy: -2542 meV per atom



No. 7
Crystalline PmNdPdPt at its relaxed geometry. Source: Alexandria via LeMat-Bulk, functional PBE-GGA.

Lattice parameters (Å, degrees): 7.208 7.208 7.208 90.00 90.00 90.00
Atoms (fractional coordinates):
Pm (0.000, 0.000, 0.000)
Pm (0.000, 0.500, 0.500)
Pm (0.500, 0.000, 0.500)
Pm (0.500, 0.500, 0.000)
Nd (0.000, 0.000, 0.500)
Nd (0.000, 0.500, 0.000)
Nd (0.500, 0.000, 0.000)
Nd (0.500, 0.500, 0.500)
Pd (0.250, 0.250, 0.250)
Pd (0.250, 0.750, 0.750)
Pd (0.750, 0.250, 0.750)
Pd (0.750, 0.750, 0.250)
Pt (0.250, 0.250, 0.750)
Pt (0.250, 0.750, 0.250)
Pt (0.750, 0.250, 0.250)
Pt (0.750, 0.750, 0.750)

Calculated values
* DOS(E_F): 3.9 states/eV/f.u.
* distance to the lowest polymorph of the same formula: 86 meV per atom
* space-group type: F-43m, No. 216
* formation energy: -0.914 eV per atom



No. 8
Crystalline Pu3Ge3Os2 at its relaxed geometry. Source: Alexandria via LeMat-Bulk, functional PBE-GGA.

Lattice parameters (Å, degrees): 5.648 5.648 14.459 90.00 90.00 135.71
Atoms (fractional coordinates):
Pu (0.067, 0.933, 0.609)
Pu (0.067, 0.933, 0.891)
Pu (0.340, 0.660, 0.750)
Pu (0.660, 0.340, 0.250)
Pu (0.933, 0.067, 0.109)
Pu (0.933, 0.067, 0.391)
Ge (0.361, 0.639, 0.533)
Ge (0.361, 0.639, 0.967)
Ge (0.369, 0.631, 0.250)
Ge (0.631, 0.369, 0.750)
Ge (0.639, 0.361, 0.033)
Ge (0.639, 0.361, 0.467)
Os (0.209, 0.791, 0.115)
Os (0.209, 0.791, 0.385)
Os (0.791, 0.209, 0.615)
Os (0.791, 0.209, 0.885)

Calculated values
* DOS(E_F): 22.2 states/eV/f.u.
* space-group type: Cmcm, No. 63
* formation energy: -0.307 eV per atom



No. 9
Crystalline MnCu2Re at its relaxed geometry. Source: Alexandria via LeMat-Bulk, functional PBE-GGA.

Lattice parameters (Å, degrees): 4.453 2.623 4.655 90.00 108.25 90.00
Atoms (fractional coordinates):
Mn (0.000, 0.000, 0.000)
Cu (0.000, 0.500, 0.500)
Cu (0.500, 0.000, 0.500)
Re (0.500, 0.500, 0.000)

Calculated values
* DOS(E_F): 3.1 states/eV/f.u.
* distance to the lowest polymorph of the same formula: 70 meV per atom
* space-group type: P2/m, No. 10
* formation energy: 0.259 eV per atom



No. 10
Crystalline B3AsW at its relaxed geometry. Source: Alexandria via LeMat-Bulk, functional PBE-GGA.

Lattice parameters (Å, degrees): 4.223 4.223 4.223 90.00 90.00 90.00
Atoms (fractional coordinates):
B (0.000, 0.000, 0.500)
B (0.000, 0.500, 0.000)
B (0.500, 0.000, 0.000)
As (0.500, 0.500, 0.500)
W (0.000, 0.000, 0.000)

Calculated values
* DOS(E_F): 5.0 states/eV/f.u.
* distance to the lowest polymorph of the same formula: 0 meV per atom
* space-group type: Pm-3m, No. 221
* formation energy: 1.597 eV per atom



No. 11
Crystalline Ta3Au at its relaxed geometry. Source: Alexandria via LeMat-Bulk, functional PBE-GGA.

Lattice parameters (Å, degrees): 3.507 4.469 9.196 90.00 90.00 90.00
Atoms (fractional coordinates):
Ta (0.000, 0.000, 0.000)
Ta (0.000, 0.500, 0.250)
Ta (0.000, 0.500, 0.750)
Ta (0.500, 0.000, 0.250)
Ta (0.500, 0.000, 0.750)
Ta (0.500, 0.500, 0.000)
Au (0.000, 0.000, 0.500)
Au (0.500, 0.500, 0.500)

Calculated values
* DOS(E_F): 3.1 states/eV/f.u.
* distance to the lowest polymorph of the same formula: 0 meV per atom
* space-group type: Cmmm, No. 65
* formation energy: -0.051 eV per atom